1.
Below is a relaxed Mn2In2I crystal, with properties calculated at the GGA-PBEsol level.

Summary:
**DOS(E_F)**: 4.08 states/eV/cell
**Symmetry**: I4/mmm, No. 139
**Uncorrected formation energy**: 0.50 eV/atom

Cell: 7.225 7.225 7.225 Å, 147.83 147.83 46.14°
Fractional positions:
1 Mn 0.099 0.099 0.000
2 Mn 0.901 0.901 0.000
3 In 0.250 0.750 0.500
4 In 0.750 0.250 0.500
5 I 0.500 0.500 0.000

=====

2.
Below is a relaxed HfBeCo3 crystal, with properties calculated at the GGA-PBEsol level.

Summary:
**Calculated formation energy**: 1.73 eV per atom
**DOS(E_F)**: 7.10 states/eV/cell
**Symmetry**: Pm-3m, No. 221

Cell: 4.391 4.391 4.391 Å, 90.00 90.00 90.00°
Fractional positions:
1 Hf 0.000 0.000 0.000
2 Be 0.500 0.500 0.500
3 Co 0.000 0.000 0.500
4 Co 0.000 0.500 0.000
5 Co 0.500 0.000 0.000

=====

3.
Below is a relaxed YMo2W crystal, with properties calculated at the GGA-PBEsol level.

Summary:
**Calculated formation energy**: 0.33 eV per atom
**DOS(E_F)**: 3.91 states/eV/cell
**Symmetry**: P4mm, No. 99
**Energy above the lowest structure with this stoichiometry**: 0.0 meV per atom

Cell: 3.157 3.157 7.243 Å, 90.00 90.00 90.00°
Fractional positions:
1 Y 0.000 0.000 0.000
2 Mo 0.000 0.000 0.499
3 Mo 0.500 0.500 0.296
4 W 0.500 0.500 0.705